This record from Alexandria via LeMat-Bulk describes a relaxed structure of ThTlZnPt. The functional is GGA-PBE.

Computed properties:
final energy	-19.07	eV/f.u.
SG	F-43m (216)

POSCAR file:
```
ThTlZnPt
1.0
4.993 0.000 0.000
2.496 4.324 0.000
2.496 1.441 4.077
Zn Tl Pt Th
1 1 1 1
Cartesian
0.000 0.000 0.000
7.489 4.324 3.058
4.993 2.883 2.038
2.496 1.441 1.019
```